Entry 1:
{
  "formula": "Cr2SbRh",
  "functional": "meta-GGA SCAN",
  "state": "single point on PBEsol structure",
  "spacegroup": "Pmmm, No. 47",
  "energy_ev_per_atom": -26.6668,
  "e_form_raw_ev_per_atom": 0.2836,
  "density_g_cm3": 9.2,
  "lattice": [[2.8465, 0.0000, 0.0000], [0.0000, 3.9764, 0.0000], [0.0000, 0.0000, 5.2173]],
  "species": ["Cr", "Cr", "Sb", "Rh"],
  "fractional_positions": [[0.0000, 0.0000, 0.1930], [0.0000, 0.0000, 0.8070], [0.5000, 0.5000, 0.5000], [0.5000, 0.5000, 0.0000]]
}

Entry 2:
{
  "formula": "HoInAg2",
  "functional": "meta-GGA SCAN",
  "state": "single point on PBEsol structure",
  "delta_e_f_ev_per_atom": -0.42,
  "spacegroup": "Fm-3m, No. 225",
  "energy_ev_per_atom": -36.6963,
  "density_g_cm3": 10.3,
  "lattice": [[6.8362, 0.0000, 0.0000], [0.0000, 6.8362, 0.0000], [0.0000, 0.0000, 6.8362]],
  "species": ["Ho", "Ho", "Ho", "Ho", "In", "In", "In", "In", "Ag", "Ag", "Ag", "Ag", "Ag", "Ag", "Ag", "Ag"],
  "fractional_positions": [[0.0000, 0.0000, 0.0000], [0.0000, 0.5000, 0.5000], [0.5000, 0.0000, 0.5000], [0.5000, 0.5000, 0.0000], [0.0000, 0.0000, 0.5000], [0.0000, 0.5000, 0.0000], [0.5000, 0.0000, 0.0000], [0.5000, 0.5000, 0.5000], [0.2500, 0.2500, 0.2500], [0.2500, 0.2500, 0.7500], [0.2500, 0.7500, 0.2500], [0.2500, 0.7500, 0.7500], [0.7500, 0.2500, 0.2500], [0.7500, 0.2500, 0.7500], [0.7500, 0.7500, 0.2500], [0.7500, 0.7500, 0.7500]]
}